--- 1 ---
Mn2PbCl: relaxed, GGA-PBEsol.

Structure (CIF):
```
data_Mn2PbCl
_symmetry_space_group_name_H-M 'C m m m'
_symmetry_Int_Tables_number 65
_symmetry_space_group_name_Hall '-C 2 2'
_cell_length_a 3.2729
_cell_length_b 5.5792
_cell_length_c 8.3522
_cell_angle_alpha 90.00
_cell_angle_beta 90.00
_cell_angle_gamma 90.00
loop_
_atom_site_label
_atom_site_type_symbol
_atom_site_fract_x
_atom_site_fract_y
_atom_site_fract_z
Mn1 Mn 0.0000 0.0000 0.2268
Pb1 Pb 0.0000 0.5000 0.5000
Cl1 Cl 0.0000 0.5000 0.0000
```

---

--- 2 ---
Mn2PbCl: relaxed, GGA-PBEsol.

Structure (CIF):
```
data_Mn2PbCl
_symmetry_space_group_name_H-M 'C 1 m 1'
_symmetry_Int_Tables_number 8
_cell_length_a 8.8754
_cell_length_b 3.0584
_cell_length_c 5.6096
_cell_angle_alpha 90.00
_cell_angle_beta 98.26
_cell_angle_gamma 90.00
loop_
_symmetry_equiv_pos_as_xyz
'x,y,z'
'x,-y,z'
'x+1/2,y+1/2,z'
'x+1/2,-y+1/2,z'
loop_
_atom_site_label
_atom_site_type_symbol
_atom_site_fract_x
_atom_site_fract_y
_atom_site_fract_z
Mn1 Mn 0.0000 0.0000 0.0000
Mn2 Mn 0.2275 0.5000 0.2511
Pb1 Pb 0.2440 0.0000 0.7595
Cl1 Cl 0.4622 0.0000 0.3279
```

---

Order of stability, best first: 2, 1

---

--- 1 ---
MnPtCl2: relaxed, GGA-PBEsol.

Structure (CIF):
```
data_MnPtCl2
_symmetry_space_group_name_H-M 'P 1 m 1'
_symmetry_Int_Tables_number 6
_cell_length_a 3.6118
_cell_length_b 3.5517
_cell_length_c 6.4440
_cell_angle_alpha 90.00
_cell_angle_beta 91.93
_cell_angle_gamma 90.00
loop_
_symmetry_equiv_pos_as_xyz
'x,y,z'
'x,-y,z'
loop_
_atom_site_label
_atom_site_type_symbol
_atom_site_fract_x
_atom_site_fract_y
_atom_site_fract_z
Mn1 Mn 0.0000 0.0000 0.0000
Pt1 Pt 0.5051 0.5000 0.1179
Cl1 Cl 0.2555 0.5000 0.7751
Cl2 Cl 0.7679 0.0000 0.3642
```

---

--- 2 ---
MnPtCl2: relaxed, GGA-PBEsol.

Structure (CIF):
```
data_MnPtCl2
_symmetry_space_group_name_H-M 'F -4 3 m'
_symmetry_Int_Tables_number 216
_symmetry_space_group_name_Hall 'F -4 2 3'
_cell_length_a 6.4323
_cell_length_b 6.4323
_cell_length_c 6.4323
_cell_angle_alpha 90.00
_cell_angle_beta 90.00
_cell_angle_gamma 90.00
loop_
_atom_site_label
_atom_site_type_symbol
_atom_site_fract_x
_atom_site_fract_y
_atom_site_fract_z
Mn1 Mn 0.0000 0.0000 0.0000
Pt1 Pt 0.2500 0.2500 0.2500
Cl1 Cl 0.0000 0.0000 0.5000
Cl2 Cl 0.2500 0.2500 0.7500
```

---

--- 3 ---
MnPtCl2: relaxed, GGA-PBEsol.

Structure (CIF):
```
data_MnPtCl2
_symmetry_space_group_name_H-M 'I m m m'
_symmetry_Int_Tables_number 71
_symmetry_space_group_name_Hall '-I 2 2'
_cell_length_a 2.9378
_cell_length_b 5.6359
_cell_length_c 8.1546
_cell_angle_alpha 90.00
_cell_angle_beta 90.00
_cell_angle_gamma 90.00
loop_
_atom_site_label
_atom_site_type_symbol
_atom_site_fract_x
_atom_site_fract_y
_atom_site_fract_z
Mn1 Mn 0.0000 0.0000 0.0000
Pt1 Pt 0.0000 0.0000 0.5000
Cl1 Cl 0.0000 0.5000 0.2747
```

---

Order of stability, best first: 1, 3, 2

---

--- 1 ---
MnPt2Cl: relaxed, GGA-PBEsol.

Structure (CIF):
```
data_MnPt2Cl
_symmetry_space_group_name_H-M 'C m m m'
_symmetry_Int_Tables_number 65
_symmetry_space_group_name_Hall '-C 2 2'
_cell_length_a 5.4791
_cell_length_b 7.9382
_cell_length_c 2.8317
_cell_angle_alpha 90.00
_cell_angle_beta 90.00
_cell_angle_gamma 90.00
loop_
_atom_site_label
_atom_site_type_symbol
_atom_site_fract_x
_atom_site_fract_y
_atom_site_fract_z
Mn1 Mn 0.0000 0.0000 0.0000
Pt1 Pt 0.2500 0.2500 0.5000
Cl1 Cl 0.0000 0.5000 0.0000
```

---

--- 2 ---
MnPt2Cl: relaxed, GGA-PBEsol.

Structure (CIF):
```
data_MnPt2Cl
_symmetry_space_group_name_H-M 'I m m 2'
_symmetry_Int_Tables_number 44
_cell_length_a 2.8442
_cell_length_b 4.7109
_cell_length_c 9.1214
_cell_angle_alpha 90.00
_cell_angle_beta 90.00
_cell_angle_gamma 90.00
loop_
_symmetry_equiv_pos_as_xyz
'x,y,z'
'-x,-y,z'
'-x,y,z'
'x,-y,z'
'x+1/2,y+1/2,z+1/2'
'-x+1/2,-y+1/2,z+1/2'
'-x+1/2,y+1/2,z+1/2'
'x+1/2,-y+1/2,z+1/2'
loop_
_atom_site_label
_atom_site_type_symbol
_atom_site_fract_x
_atom_site_fract_y
_atom_site_fract_z
Mn1 Mn 0.0000 0.0000 0.0000
Pt1 Pt 0.0000 0.0000 0.5050
Pt2 Pt 0.0000 0.5000 0.7245
Cl1 Cl 0.0000 0.5000 0.3017
```

---

Order of stability, best first: 2, 1

---

--- 1 ---
MnPtCl: relaxed, GGA-PBEsol.

Structure (CIF):
```
data_MnPtCl
_symmetry_space_group_name_H-M 'P 3 m 1'
_symmetry_Int_Tables_number 156
_cell_length_a 4.2451
_cell_length_b 4.2451
_cell_length_c 2.9608
_cell_angle_alpha 90.00
_cell_angle_beta 90.00
_cell_angle_gamma 120.00
loop_
_symmetry_equiv_pos_as_xyz
'x,y,z'
'-y,x-y,z'
'-x+y,-x,z'
'-y,-x,z'
'-x+y,y,z'
'x,x-y,z'
loop_
_atom_site_label
_atom_site_type_symbol
_atom_site_fract_x
_atom_site_fract_y
_atom_site_fract_z
Mn1 Mn 0.0000 0.0000 0.0000
Pt1 Pt 0.6667 0.3333 0.5136
Cl1 Cl 0.3333 0.6667 0.1384
```

---

--- 2 ---
MnPtCl: relaxed, GGA-PBEsol.

Structure (CIF):
```
data_MnPtCl
_symmetry_space_group_name_H-M 'F -4 3 m'
_symmetry_Int_Tables_number 216
_symmetry_space_group_name_Hall 'F -4 2 3'
_cell_length_a 5.7194
_cell_length_b 5.7194
_cell_length_c 5.7194
_cell_angle_alpha 90.00
_cell_angle_beta 90.00
_cell_angle_gamma 90.00
loop_
_atom_site_label
_atom_site_type_symbol
_atom_site_fract_x
_atom_site_fract_y
_atom_site_fract_z
Mn1 Mn 0.0000 0.0000 0.0000
Pt1 Pt 0.2500 0.2500 0.7500
Cl1 Cl 0.2500 0.2500 0.2500
```

---

Order of stability, best first: 1, 2